An optimized crystal structure of KY3Re, computed with PBE.

Energy above the lowest structure with this stoichiometry (meV per atom): 0
DFT total energy (eV per atom): -6.25
Theoretical density (kg/m3): 4696

Unit cell a=5.5826 b=5.5826 c=5.5826 alpha=90.00 beta=90.00 gamma=90.00
Last column: nearest neighbours and their distance in Å.
Space group Pm-3m (No. 221)
Asymmetric unit:
K (0.0000, 0.0000, 0.0000) x1  12 Y 3.95
Y (0.0000, 0.5000, 0.5000) x3  2 Re 2.79
Re (0.5000, 0.5000, 0.5000) x1  6 Y 2.79



An optimized crystal structure of KY2Re, computed with PBE.

Energy above the lowest structure with this stoichiometry (meV per atom): 259
DFT total energy (eV per atom): -6.13
Theoretical density (kg/m3): 5058

Unit cell a=3.6975 b=3.6975 c=33.5329 alpha=90.00 beta=90.00 gamma=120.00
Last column: nearest neighbours and their distance in Å.
Space group R-3m (No. 166, hexagonal axes)
Asymmetric unit:
K (0.0000, 0.0000, 0.0000) x3  6 K 3.70
Y (0.0000, 0.0000, 0.2228) x6  3 Re 2.85
Re (0.0000, 0.0000, 0.5000) x3  6 Y 2.85



An optimized crystal structure of KY2Re, computed with PBE.

Energy above the lowest structure with this stoichiometry (meV per atom): 898
DFT total energy (eV per atom): -5.49
Theoretical density (kg/m3): 6503

Unit cell a=7.4395 b=7.4395 c=7.4395 alpha=90.00 beta=90.00 gamma=90.00
Last column: nearest neighbours and their distance in Å.
Space group F-43m (No. 216)
Asymmetric unit:
K (0.0000, 0.0000, 0.0000) x4  4 Re 3.22, 4 Y 3.22
Y (0.0000, 0.0000, 0.5000) x4  4 Re 3.22, 4 Y 3.22
Y (0.2500, 0.2500, 0.7500) x4  4 K 3.22, 4 Y 3.22
Re (0.2500, 0.2500, 0.2500) x4  4 K 3.22, 4 Y 3.22



An optimized crystal structure of KYRe3, computed with PBE.

Energy above the lowest structure with this stoichiometry (meV per atom): 0
DFT total energy (eV per atom): -6.01
Theoretical density (kg/m3): 8791

Unit cell a=5.0618 b=5.0618 c=5.0618 alpha=90.00 beta=90.00 gamma=90.00
Last column: nearest neighbours and their distance in Å.
Space group Pm-3m (No. 221)
Asymmetric unit:
K (0.0000, 0.0000, 0.0000) x1  12 Re 3.58
Y (0.5000, 0.5000, 0.5000) x1  6 Re 2.53
Re (0.0000, 0.5000, 0.5000) x3  2 Y 2.53



An optimized crystal structure of KY2Re, computed with PBE.

Energy above the lowest structure with this stoichiometry (meV per atom): 0
DFT total energy (eV per atom): -6.39
Theoretical density (kg/m3): 5144

Unit cell a=3.4973 b=3.4973 c=10.6401 alpha=90.00 beta=90.00 gamma=90.00
Last column: nearest neighbours and their distance in Å.
Space group P4/mmm (No. 123)
Asymmetric unit:
K (0.0000, 0.0000, 0.0000) x1  4 K 3.50
Y (0.5000, 0.5000, 0.3467) x2  4 Re 2.96, 1 Y 3.26
Re (0.0000, 0.0000, 0.5000) x1  8 Y 2.96



An optimized crystal structure of KY4Re, computed with PBE.

DFT total energy (eV per atom): -5.40
Theoretical density (kg/m3): 5220

Unit cell a=9.0420 b=9.0420 c=9.0420 alpha=90.00 beta=90.00 gamma=90.00
Last column: nearest neighbours and their distance in Å.
Space group F-43m (No. 216)
Asymmetric unit:
K (0.0000, 0.0000, 0.0000) x4  12 Y 3.76, 4 Re 3.92
Y (0.1218, 0.1218, 0.3782) x16  6 Y 3.11-3.28
Re (0.2500, 0.2500, 0.7500) x4  12 Y 3.74, 4 K 3.92



An optimized crystal structure of KY2Re, computed with PBE.

Energy above the lowest structure with this stoichiometry (meV per atom): 352
DFT total energy (eV per atom): -6.03
Theoretical density (kg/m3): 4723

Unit cell a=3.4354 b=4.6888 c=17.5962 alpha=90.00 beta=90.00 gamma=90.00
Last column: nearest neighbours and their distance in Å.
Space group Imm2 (No. 44)
Asymmetric unit:
K (0.0000, 0.0000, 0.0000) x2  2 K 3.44, 2 Re 3.73, 2 Y 3.83
Y (0.0000, 0.0000, 0.3123) x2  2 Re 2.77
Y (0.0000, 0.5000, 0.1719) x2  4 Re 2.92
Re (0.0000, 0.5000, 0.6885) x2  6 Y 2.77-2.92



An optimized crystal structure of KY2Re, computed with PBE.

Energy above the lowest structure with this stoichiometry (meV per atom): 422
DFT total energy (eV per atom): -5.96
Theoretical density (kg/m3): 4960

Unit cell a=3.9086 b=3.9086 c=8.8333 alpha=90.00 beta=90.00 gamma=90.00
Last column: nearest neighbours and their distance in Å.
Space group P4mm (No. 99)
Asymmetric unit:
K (0.0000, 0.0000, 0.0000) x1  1 Y 3.46, 4 Re 3.85
Y (0.0000, 0.0000, 0.3919) x1  4 Re 2.87
Y (0.5000, 0.5000, 0.6185) x1  1 Re 2.78
Re (0.5000, 0.5000, 0.3042) x1  5 Y 2.78-2.87